Entry 1:
## Li2Ag7Sb2As (GGA-PBE)

Data for Li2Ag7Sb2As after structural relaxation.

POSCAR file:
```
Li2Ag7Sb2As
1.0
2.961 -3.002 0.000
2.961 3.002 0.000
-0.045 0.000 13.025
Li Ag Sb As
2 7 2 1
direct
0.000 0.000 0.187
0.000 0.000 0.813
0.000 0.000 0.500
0.000 0.500 0.341
0.000 0.500 0.659
0.244 0.244 0.000
0.500 0.000 0.341
0.500 0.000 0.659
0.756 0.756 0.000
0.499 0.499 0.187
0.501 0.501 0.813
0.500 0.500 0.500
```

Values from the calculation:
calculated volume = 19.3 Å³/atom
SG = C2/m (12)

Entry 2:
## LiAgAsSe2 (GGA-PBE)

Data for LiAgAsSe2 after structural relaxation.

POSCAR file:
```
LiAgAsSe2
1.0
5.242 0.000 0.000
0.000 5.242 0.000
0.000 0.000 4.887
Li Ag As Se
1 1 1 2
direct
0.000 0.000 0.000
0.500 0.500 0.500
0.500 0.500 0.000
0.000 0.500 0.500
0.500 0.000 0.500
```

Values from the calculation:
E above lowest polymorph = 0 meV/atom
calculated volume = 26.9 Å³/atom
SG = P4/mmm (123)

| no. | E_form (uncorrected) (kJ per mole of atoms) | raw total energy (eV/atom) | magnetization (μB per cell) |
| --- | --- | --- | --- |
| 1 | -4.9 | -3.11 | 0.0 |
| 2 | 33.6 | -2.93 | 0.0 |